No. 1
Compound: AcSmHo2
Source: Alexandria
Functional: PBE
Structure: optimized geometry

The calculation puts the magnetization at 0.00 Bohr magnetons per cell. Its distance to the lowest polymorph of the same formula is 2 meV per atom. The calculated total energy is -4.44 eV per atom.

Geometry as CIF:
```
data_AcSmHo2
_chemical_formula_sum 'Ac3 Sm3 Ho6'
_symmetry_space_group_name_H-M 'R 3 m'
_symmetry_Int_Tables_number 160
_symmetry_space_group_name_Hall 'R 3 -2"'
_cell_length_a 3.7077
_cell_length_b 3.7077
_cell_length_c 35.2135
_cell_angle_alpha 90.00
_cell_angle_beta 90.00
_cell_angle_gamma 120.00
loop_
_atom_site_label
_atom_site_fract_x
_atom_site_fract_y
_atom_site_fract_z
Ac1 0.0000 0.0000 0.0000
Sm1 0.0000 0.0000 0.1661
Ho1 0.0000 0.0000 0.4189
Ho2 0.0000 0.0000 0.5810
```

---

No. 2
Compound: Ac2Sm5Ho
Source: Alexandria
Functional: PBE
Structure: optimized geometry

The calculation puts the magnetization at 0.00 Bohr magnetons per cell. The calculated total energy is -4.51 eV per atom.

Geometry as CIF:
```
data_Ac2Sm5Ho
_chemical_formula_sum 'Ac4 Sm10 Ho2'
_symmetry_space_group_name_H-M 'I 4/m m m'
_symmetry_Int_Tables_number 139
_symmetry_space_group_name_Hall '-I 4 2'
_cell_length_a 5.273
_cell_length_b 5.273
_cell_length_c 20.728
_cell_angle_alpha 90.00
_cell_angle_beta 90.00
_cell_angle_gamma 90.00
loop_
_atom_site_label
_atom_site_fract_x
_atom_site_fract_y
_atom_site_fract_z
Ac1 0.000 0.000 0.250
Sm1 0.000 0.000 0.000
Sm2 0.000 0.500 0.118
Ho1 0.000 0.000 0.500
```